# 1
This record from Alexandria via LeMat-Bulk describes a relaxed structure of K8Te2O. The functional is GGA-PBE.

```
11
Lattice="5.6810 0.0000 0.0000 0.0000 9.4862 2.3446 -2.8405 -0.8648 8.8737" Properties=species:S:1:pos:R:3 pbc="T T T"
K 0.0000 6.3257 9.8239
K 2.8405 8.5512 5.2538
K 2.8405 4.7485 7.0803
K 2.8405 0.5909 8.1130
K 0.0000 3.8729 4.1380
K 0.0000 0.0702 5.9645
K 2.8405 2.2957 1.3944
K 0.0000 8.0305 3.1053
Te 2.8405 1.9130 4.9596
Te 0.0000 6.7084 6.2587
O 2.8405 0.0000 0.0000
```

Values from the calculation:
D(E_F) = 2.07 states/eV per cell
magnetization = 0.00 Bohr magnetons per cell
volume = 489.73 Å³/cell
formation energy (no corrections) = -0.735 eV per atom

---

# 2
This record from Alexandria via LeMat-Bulk describes a relaxed structure of K2TeO4. The functional is GGA-PBE.

```
7
Lattice="3.1875 0.0000 0.0000 0.0000 6.6223 -0.2981 -1.5938 -3.4201 5.4741" Properties=species:S:1:pos:R:3 pbc="T T T"
K 1.5938 3.2053 1.4843
K 0.0000 -0.0031 3.6917
Te 0.0000 0.0000 0.0000
O 1.5938 -1.5807 5.1827
O 0.0000 4.7828 -0.0067
O 1.5938 0.2217 1.3317
O 0.0000 2.9805 3.8442
```

Values from the calculation:
D(E_F) = 0.00 states/eV per cell
magnetization = 0.00 Bohr magnetons per cell
volume = 112.30 Å³/cell
formation energy (no corrections) = -1.352 eV per atom

---

# 3
This record from Alexandria via LeMat-Bulk describes a relaxed structure of KTeO3. The functional is GGA-PBE.

```
5
Lattice="4.2593 0.0000 0.0000 0.0000 4.2593 0.0000 0.0000 0.0000 4.2593" Properties=species:S:1:pos:R:3 pbc="T T T"
K 0.0000 0.0000 0.0000
Te 2.1296 2.1296 2.1296
O 0.0000 2.1296 0.0000
O 0.0000 0.0000 2.1296
O 2.1296 0.0000 0.0000
```

Values from the calculation:
D(E_F) = 3.84 states/eV per cell
magnetization = 0.66 Bohr magnetons per cell
volume = 77.27 Å³/cell
formation energy (no corrections) = 1.004 eV per atom

---

# 4
This record from Alexandria via LeMat-Bulk describes a relaxed structure of K2TeO5. The functional is GGA-PBE.

```
8
Lattice="4.0141 0.0000 0.0000 0.0000 6.3391 0.0000 0.0000 0.0000 6.3391" Properties=species:S:1:pos:R:3 pbc="T T T"
K 2.0071 3.1695 0.0000
K 2.0071 0.0000 3.1695
Te 0.0000 0.0000 0.0000
O 0.0000 4.9946 4.9946
O 0.0000 1.3445 4.9946
O 0.0000 4.9946 1.3445
O 2.0071 0.0000 0.0000
O 0.0000 1.3445 1.3445
```

Values from the calculation:
D(E_F) = 3.51 states/eV per cell
magnetization = 2.05 Bohr magnetons per cell
volume = 161.30 Å³/cell
formation energy (no corrections) = -1.006 eV per atom